Entry 1:
The following is a DFT calculation (PBE-GGA) of an optimized crystal structure of RbScRe2.

Lattice parameters (Å, degrees): 4.820 4.820 4.820 60.00 60.00 60.00
Fractional coordinates of all 4 atoms:
Re 0.250 0.250 0.250
Sc 0.000 0.000 0.000
Rb 0.500 0.500 0.500
Re 0.750 0.750 0.750

Results
N(E_F) in states/eV/atom: 1.72
DFT formation energy in eV per atom: 1.953
Space group: Fm-3m (225)

***

Entry 2:
The following is a DFT calculation (PBE-GGA) of an optimized crystal structure of ZnAsRu2.

Lattice parameters (Å, degrees): 2.915 5.042 5.089 50.88 90.00 90.00
Fractional coordinates of all 4 atoms:
Ru 0.500 0.500 0.000
Zn 0.500 0.500 0.500
As 0.000 0.000 0.500
Ru 0.000 0.000 0.000

Results
N(E_F) in states/eV/atom: 0.90
DFT formation energy in eV per atom: 0.047
Space group: P2/m (10)

***

Entry 3:
The following is a DFT calculation (PBE-GGA) of an optimized crystal structure of LaSm3Tm4.

Lattice parameters (Å, degrees): 3.415 8.930 8.930 81.11 78.97 78.98
Fractional coordinates of all 8 atoms:
Sm 0.000 0.500 0.500
Tm 0.364 0.387 0.885
La 0.500 0.000 0.000
Tm 0.364 0.885 0.387
Tm 0.636 0.115 0.613
Sm 0.243 0.757 0.757
Tm 0.636 0.613 0.115
Sm 0.757 0.243 0.243

Results
N(E_F) in states/eV/atom: 1.74
DFT formation energy in eV per atom: 0.144
Space group: Immm (71)

***

Entry 4:
The following is a DFT calculation (PBE-GGA) of an optimized crystal structure of BaTa2W.

Lattice parameters (Å, degrees): 4.299 3.007 7.663 91.35 90.00 90.00
Fractional coordinates of all 4 atoms:
Ta 0.000 0.609 0.408
Ta 0.000 0.891 0.092
W 0.500 0.250 0.250
Ba 0.500 0.750 0.750

Results
N(E_F) in states/eV/atom: 0.93
DFT formation energy in eV per atom: 0.753
Space group: P2/m (10)

***

Entry 5:
The following is a DFT calculation (PBE-GGA) of an optimized crystal structure of Tl8Hg3Se8.

Lattice parameters (Å, degrees): 6.422 9.422 12.175 106.84 105.29 90.00
Fractional coordinates of all 19 atoms:
Tl 0.043 0.244 0.087
Tl 0.957 0.756 0.913
Tl 0.407 0.039 0.815
Tl 0.322 0.514 0.645
Se 0.467 0.725 0.933
Se 0.533 0.275 0.067
Tl 0.593 0.961 0.185
Se 0.299 0.174 0.598
Se 0.178 0.475 0.356
Hg 0.500 0.500 0.000
Tl 0.198 0.833 0.397
Se 0.822 0.525 0.644
Se 0.905 0.025 0.809
Se 0.095 0.975 0.191
Tl 0.678 0.486 0.355
Hg 0.809 0.792 0.618
Hg 0.191 0.208 0.382
Tl 0.802 0.167 0.603
Se 0.701 0.826 0.402

Results
N(E_F) in states/eV/atom: 0.49
Space group: C2/m (12)
Formation energy from raw total energies in eV per atom: -0.248

***

Entry 6:
The following is a DFT calculation (PBE-GGA) of an optimized crystal structure of BC3.

Lattice parameters (Å, degrees): 4.516 4.516 7.402 113.07 113.07 33.34
Fractional coordinates of all 12 atoms:
C 0.665 0.665 0.829
C 0.012 0.012 0.516
C 0.836 0.836 0.550
C 0.001 0.001 0.991
C 0.500 0.500 0.869
C 0.169 0.169 0.711
B 0.697 0.697 0.323
C 0.328 0.328 0.179
C 0.335 0.335 0.671
B 0.831 0.831 0.029
C 0.154 0.154 0.190
B 0.472 0.472 0.392

Results
N(E_F) in states/eV/atom: 0.09
DFT formation energy in eV per atom: 0.327
Space group: Cm (8)

***

Entry 7:
The following is a DFT calculation (PBE-GGA) of an optimized crystal structure of SmUOs.

Lattice parameters (Å, degrees): 3.525 3.525 6.035 106.98 106.98 90.00
Last column: magnetic moment on the atom in μB.
Fractional coordinates of all 3 atoms:
Sm 0.999 0.999 0.997  0.02
U 0.700 0.700 0.400  0.70
Os 0.301 0.301 0.602  -0.10

Results
N(E_F) in states/eV/atom: 1.49
DFT formation energy in eV per atom: 0.028
Space group: I4mm (107)

***

Entry 8:
The following is a DFT calculation (PBE-GGA) of an optimized crystal structure of TiTcB3.

Lattice parameters (Å, degrees): 3.904 3.904 3.904 90.00 90.00 90.00
Last column: magnetic moment on the atom in μB.
Fractional coordinates of all 5 atoms:
B 0.000 0.000 0.500  -0.02
Ti 0.000 0.000 0.000  -0.01
Tc 0.500 0.500 0.500  1.34
B 0.500 0.000 0.000  -0.01
B 0.000 0.500 0.000  -0.03

Results
N(E_F) in states/eV/atom: 0.75
DFT formation energy in eV per atom: 1.587
Space group: Pm-3m (221)

***

Entry 9:
The following is a DFT calculation (PBE-GGA) of an optimized crystal structure of Nd5TmTh.

Lattice parameters (Å, degrees): 10.378 17.045 6.283 36.31 34.43 24.15
Fractional coordinates of all 7 atoms:
Th 0.000 0.000 0.000
Nd 0.798 0.729 0.649
Nd 0.500 0.000 0.000
Nd 0.202 0.271 0.351
Nd 0.640 0.269 0.350
Tm 0.500 0.500 0.500
Nd 0.360 0.731 0.650

Results
N(E_F) in states/eV/atom: 1.48
DFT formation energy in eV per atom: 0.215
Space group: P-1 (2)

***

Entry 10:
The following is a DFT calculation (PBE-GGA) of an optimized crystal structure of BeZnTe2.

Lattice parameters (Å, degrees): 7.913 3.949 13.599 90.00 90.00 90.00
Fractional coordinates of all 16 atoms:
Te 0.499 0.750 0.236
Zn 0.773 0.750 0.784
Te 0.235 0.750 0.516
Be 0.554 0.250 0.943
Be 0.946 0.750 0.443
Te 0.765 0.250 0.484
Te 0.735 0.750 0.984
Zn 0.273 0.750 0.716
Be 0.446 0.750 0.057
Te 0.501 0.250 0.764
Zn 0.227 0.250 0.216
Be 0.054 0.250 0.557
Te 0.999 0.750 0.264
Te 0.001 0.250 0.736
Te 0.265 0.250 0.016
Zn 0.727 0.250 0.284

Results
N(E_F) in states/eV/atom: 0.15
Space group: Pnma (62)
Formation energy from raw total energies in eV per atom: -0.200

***

Entry 11:
The following is a DFT calculation (PBE-GGA) of an optimized crystal structure of LiPSe3.

Lattice parameters (Å, degrees): 6.904 7.598 8.990 90.00 96.34 90.00
Fractional coordinates of all 20 atoms:
Se 0.141 0.966 0.218
Se 0.683 0.771 0.453
Li 0.510 0.065 0.305
Se 0.817 0.271 0.047
Li 0.990 0.565 0.195
Li 0.010 0.435 0.805
P 0.945 0.898 0.578
Se 0.807 0.288 0.382
Se 0.359 0.466 0.282
P 0.055 0.102 0.422
Se 0.193 0.712 0.618
P 0.555 0.398 0.922
Se 0.641 0.534 0.718
Se 0.693 0.788 0.118
Se 0.859 0.034 0.782
Se 0.317 0.229 0.547
Li 0.490 0.935 0.695
P 0.445 0.602 0.078
Se 0.183 0.729 0.953
Se 0.307 0.212 0.882

Results
N(E_F) in states/eV/atom: 0.35
Space group: P2_1/c (14)
Formation energy from raw total energies in eV per atom: -0.333

***

Entry 12:
The following is a DFT calculation (PBE-GGA) of an optimized crystal structure of CoRe2BiAu.

Lattice parameters (Å, degrees): 4.485 4.861 4.485 90.00 90.00 90.00
Fractional coordinates of all 5 atoms:
Bi 0.500 0.500 0.500
Co 0.000 0.000 0.000
Re 0.000 0.000 0.500
Re 0.500 0.000 0.000
Au 0.000 0.500 0.000

Results
N(E_F) in states/eV/atom: 1.22
DFT formation energy in eV per atom: 1.345
Space group: P4/mmm (123)

***

Q: Which of these has the highest N(E_F)?
A: LaSm3Tm4